(1)
Material: NaLi2S8
Method: DFT, PBE-GGA
State: optimized geometry

Geometry as CIF:
```
data_NaLi2S8
_chemical_formula_sum 'Na2 Li4 S16'
_symmetry_space_group_name_H-M 'C 1 2/m 1'
_symmetry_Int_Tables_number 12
_cell_length_a 13.316
_cell_length_b 5.993
_cell_length_c 6.881
_cell_angle_alpha 90.00
_cell_angle_beta 90.56
_cell_angle_gamma 90.00
loop_
_symmetry_equiv_pos_as_xyz
'x,y,z'
'-x,-y,-z'
'-x,y,-z'
'x,-y,z'
'x+1/2,y+1/2,z'
'-x+1/2,-y+1/2,-z'
'-x+1/2,y+1/2,-z'
'x+1/2,-y+1/2,z'
loop_
_atom_site_label
_atom_site_type_symbol
_atom_site_fract_x
_atom_site_fract_y
_atom_site_fract_z
Na1 Na 0.000 0.000 0.000
Li1 Li 0.172 0.500 0.591
S1 S 0.024 0.500 0.362
S2 S 0.172 0.000 0.639
S3 S 0.198 0.000 0.117
S4 S 0.229 0.500 0.134
```

Computed properties:
Fermi-level density of states = 0.73 states/eV per cell
DFT total energy = -3.832 eV per atom
Formation energy (no corrections) = -0.363 eV per atom

(2)
Material: NaLiS2
Method: DFT, PBE-GGA
State: optimized geometry

Geometry as CIF:
```
data_NaLiS2
_chemical_formula_sum 'Na3 Li3 S6'
_symmetry_space_group_name_H-M 'R -3 m'
_symmetry_Int_Tables_number 166
_symmetry_space_group_name_Hall '-R 3 2"'
_cell_length_a 3.2530
_cell_length_b 3.2530
_cell_length_c 25.6962
_cell_angle_alpha 90.00
_cell_angle_beta 90.00
_cell_angle_gamma 120.00
loop_
_atom_site_label
_atom_site_type_symbol
_atom_site_fract_x
_atom_site_fract_y
_atom_site_fract_z
Na1 Na 0.0000 0.0000 0.0000
Li1 Li 0.0000 0.0000 0.5000
S1 S 0.0000 0.0000 0.0991
```

Computed properties:
Fermi-level density of states = 7.41 states/eV per cell
DFT total energy = -3.139 eV per atom
Formation energy (no corrections) = -0.267 eV per atom
Energy above the most stable polymorph in this dataset = 500 meV/atom

(3)
Material: NaLiS14
Method: DFT, PBE-GGA
State: optimized geometry

Geometry as CIF:
```
data_NaLiS14
_chemical_formula_sum 'Na4 Li4 S56'
_symmetry_space_group_name_H-M 'C 1 2/c 1'
_symmetry_Int_Tables_number 15
_cell_length_a 21.352
_cell_length_b 9.782
_cell_length_c 14.819
_cell_angle_alpha 90.00
_cell_angle_beta 133.56
_cell_angle_gamma 90.00
loop_
_symmetry_equiv_pos_as_xyz
'x,y,z'
'-x,-y,-z'
'-x,y,-z+1/2'
'x,-y,z+1/2'
'x+1/2,y+1/2,z'
'-x+1/2,-y+1/2,-z'
'-x+1/2,y+1/2,-z+1/2'
'x+1/2,-y+1/2,z+1/2'
loop_
_atom_site_label
_atom_site_type_symbol
_atom_site_fract_x
_atom_site_fract_y
_atom_site_fract_z
Na1 Na 0.000 0.044 0.250
Li1 Li 0.250 0.250 0.000
S1 S 0.086 0.227 0.835
S2 S 0.096 0.009 0.183
S3 S 0.121 0.184 0.743
S4 S 0.178 0.460 0.520
S5 S 0.189 0.117 0.522
S6 S 0.212 0.496 0.902
S7 S 0.240 0.183 0.368
```

Computed properties:
Fermi-level density of states = 4.94 states/eV per cell
DFT total energy = -3.912 eV per atom
Formation energy (no corrections) = -0.099 eV per atom

(4)
Material: NaLiS2
Method: DFT, PBE-GGA
State: optimized geometry

Geometry as CIF:
```
data_NaLiS2
_chemical_formula_sum 'Na2 Li2 S4'
_symmetry_space_group_name_H-M 'A m m 2'
_symmetry_Int_Tables_number 38
_cell_length_a 4.130
_cell_length_b 5.328
_cell_length_c 7.780
_cell_angle_alpha 90.00
_cell_angle_beta 90.00
_cell_angle_gamma 90.00
loop_
_symmetry_equiv_pos_as_xyz
'x,y,z'
'-x,-y,z'
'-x,y,z'
'x,-y,z'
'x,y+1/2,z+1/2'
'-x,-y+1/2,z+1/2'
'-x,y+1/2,z+1/2'
'x,-y+1/2,z+1/2'
loop_
_atom_site_label
_atom_site_type_symbol
_atom_site_fract_x
_atom_site_fract_y
_atom_site_fract_z
Na1 Na 0.000 0.000 0.000
Li1 Li 0.500 0.000 0.446
S1 S 0.500 0.200 0.718
```

Computed properties:
DFT total energy = -3.638 eV per atom
Formation energy (no corrections) = -0.766 eV per atom
Energy above the most stable polymorph in this dataset = 0 meV/atom

Number 1: theoretical density 1.775 Mg/m³, total magnetic moment 1.0 μB per formula unit, V 24.957 A^3/atom. Number 2: theoretical density 1.990 Mg/m³, total magnetic moment 0.0 μB per formula unit, V 19.624 A^3/atom. Number 3: theoretical density 1.418 Mg/m³, total magnetic moment 0.0 μB per formula unit, V 35.045 A^3/atom. Number 4: theoretical density 1.825 Mg/m³, total magnetic moment 0.0 μB per formula unit, V 21.396 A^3/atom.